[1]
First-principles (PBE) data for a relaxed structure of Nd2PaAsO8, as listed in the Alexandria database.

Calculated values
Theoretical density in g/cm³: 6.8
DFT total energy in eV per atom: -7.9870
SG: No. 2

The structure in POSCAR format:
```
Nd2PaAsO8
1.0
5.0969 -0.0886 -0.0027
-0.0812 5.1009 -0.0060
0.0050 0.0074 6.8341
Nd Pa As O
2 1 1 8
direct
0.4992 0.4993 0.7653
0.5008 0.5007 0.2347
0.0000 0.0000 0.5000
0.0000 0.0000 0.0000
0.1715 0.8266 0.2205
0.7443 0.7451 0.9992
0.8274 0.1722 0.2206
0.8285 0.1734 0.7795
0.2557 0.2549 0.0008
0.1726 0.8278 0.7794
0.7033 0.7049 0.5004
0.2967 0.2951 0.4996
```

=====

[2]
First-principles (PBE) data for a relaxed structure of KVRu2, as listed in the Alexandria database.

Calculated values
Theoretical density in g/cm³: 7.5
E above lowest polymorph in meV per atom: 0
SG: No. 225

The structure in POSCAR format:
```
KVRu2
1.0
0.0000 3.1885 3.1885
3.1885 0.0000 3.1885
3.1885 3.1885 0.0000
Ru K V
2 1 1
direct
0.2500 0.2500 0.2500
0.7500 0.7500 0.7500
0.0000 0.0000 0.0000
0.5000 0.5000 0.5000
```

=====

[3]
First-principles (PBE) data for a relaxed structure of Ac2TePt, as listed in the Alexandria database.

Calculated values
Theoretical density in g/cm³: 9.2
E above lowest polymorph in meV per atom: 23
SG: No. 160

The structure in POSCAR format:
```
Ac2TePt
1.0
4.4634 0.0000 0.0000
2.2317 3.8654 0.0000
2.2317 1.2885 8.1446
Ac Te Pt
2 1 1
direct
0.0699 0.0699 0.7902
0.2637 0.2637 0.2090
0.4990 0.4990 0.5030
0.6674 0.6674 0.9978
```

=====

[4]
First-principles (PBE) data for a relaxed structure of Mn3HOs, as listed in the Alexandria database.

Calculated values
Theoretical density in g/cm³: 11.6
E above lowest polymorph in meV per atom: 340
SG: No. 62

The structure in POSCAR format:
```
Mn3HOs
1.0
-2.4228 0.9123 3.9328
0.4624 -5.8830 1.6496
6.0236 1.4215 3.3811
H Mn Os
4 12 4
direct
0.6235 0.2500 0.5613
0.8765 0.7500 0.0613
0.3765 0.7500 0.4387
0.1235 0.2500 0.9387
0.0277 0.9175 0.8522
0.4723 0.4175 0.3522
0.4723 0.0825 0.3522
0.9723 0.4175 0.1478
0.9723 0.0825 0.1478
0.5277 0.5825 0.6478
0.5277 0.9175 0.6478
0.0277 0.5825 0.8522
0.3087 0.2500 0.7066
0.1913 0.7500 0.2066
0.6913 0.7500 0.2934
0.8087 0.2500 0.7934
0.0000 0.0000 0.5000
0.5000 0.5000 0.0000
0.5000 0.0000 0.0000
0.0000 0.5000 0.5000
```

=====

[5]
First-principles (PBE) data for a relaxed structure of LiMg3Rh, as listed in the Alexandria database.

Calculated values
Theoretical density in g/cm³: 2.5
E above lowest polymorph in meV per atom: 93
SG: No. 221

The structure in POSCAR format:
```
LiMg3Rh
1.0
4.9667 0.0000 0.0000
0.0000 4.9667 0.0000
0.0000 0.0000 4.9667
Mg Rh Li
3 1 1
direct
0.0000 0.5000 0.0000
0.0000 0.0000 0.5000
0.5000 0.0000 0.0000
0.0000 0.0000 0.0000
0.5000 0.5000 0.5000
```

=====

[6]
First-principles (PBE) data for a relaxed structure of BeAlOs2, as listed in the Alexandria database.

Calculated values
Theoretical density in g/cm³: 13.1
DFT total energy in eV per atom: -7.5559
SG: No. 12

The structure in POSCAR format:
```
BeAlOs2
1.0
4.2192 -0.0020 -0.0092
3.3090 2.6178 -0.0092
0.9968 0.3464 4.7820
Be Os Al
1 2 1
direct
0.2500 0.2500 0.2500
0.9919 0.9919 0.0273
0.5081 0.5081 0.4727
0.7500 0.7500 0.7500
```